(1)
Sc2TiS: relaxed, PBE-GGA.

The structure in POSCAR format:
```
Sc2TiS
1.0
-7.290 2.639 3.627
3.576 -0.757 7.739
-1.116 3.160 5.558
Sc S Ti
4 2 2
direct
0.509 0.125 0.250
0.241 0.625 0.250
0.375 0.491 0.750
0.875 0.759 0.750
0.500 0.500 0.000
0.250 0.750 0.500
0.000 0.000 0.000
0.750 0.250 0.500
```

Summary:
Raw formation energy ... -0.447 eV per atom
DFT total energy ... -52.9 eV/cell

(2)
ScTi2S: relaxed, PBE-GGA.

The structure in POSCAR format:
```
ScTi2S
1.0
-7.191 0.099 -2.509
-0.794 -7.309 1.989
-4.795 -2.885 2.068
Sc S Ti
2 2 4
direct
0.000 0.000 0.000
0.750 0.250 0.500
0.500 0.500 0.000
0.250 0.750 0.500
0.543 0.125 0.250
0.207 0.625 0.250
0.375 0.457 0.750
0.875 0.793 0.750
```

Summary:
Raw formation energy ... -0.461 eV per atom
DFT total energy ... -56.2 eV/cell

(3)
Sc2TiS: relaxed, PBE-GGA.

The structure in POSCAR format:
```
Sc2TiS
1.0
1.926 0.000 8.718
-0.963 1.668 8.718
-0.963 -1.668 8.718
Sc S Ti
2 1 1
direct
0.894 0.894 0.894
0.106 0.106 0.106
0.500 0.500 0.500
0.000 0.000 0.000
```

Summary:
Raw formation energy ... -0.515 eV per atom
DFT total energy ... -26.7 eV/cell

(4)
ScTi3S6: relaxed, PBE-GGA.

The structure in POSCAR format:
```
ScTi3S6
1.0
-2.980 -0.745 1.671
4.192 -8.517 3.676
1.741 7.819 6.593
Sc Ti S
2 6 12
direct
0.750 0.048 0.698
0.250 0.952 0.302
0.750 0.441 0.851
0.250 0.559 0.149
0.750 0.684 0.507
0.250 0.316 0.493
0.750 0.141 0.074
0.250 0.859 0.926
0.750 0.480 0.617
0.250 0.520 0.383
0.750 0.914 0.100
0.250 0.086 0.900
0.750 0.383 0.062
0.250 0.617 0.938
0.750 0.731 0.275
0.250 0.269 0.725
0.750 0.120 0.469
0.250 0.880 0.531
0.750 0.803 0.752
0.250 0.197 0.248
```

Summary:
Raw formation energy ... -1.423 eV per atom
DFT total energy ... -138.0 eV/cell

(5)
Sc2TiTlS: relaxed, PBE-GGA.

The structure in POSCAR format:
```
Sc2TiTlS
1.0
-2.447 -2.172 -3.563
3.747 0.673 -2.985
1.723 -4.007 1.260
Sc Tl S Ti
2 1 1 1
direct
0.000 0.500 0.000
0.500 0.000 0.000
0.500 0.500 0.500
0.000 0.000 0.000
0.000 0.000 0.500
```

Summary:
Raw formation energy ... -0.678 eV per atom
DFT total energy ... -30.4 eV/cell

(6)
Sc2TiTl3S6: relaxed, PBE-GGA.

The structure in POSCAR format:
```
Sc2TiTl3S6
1.0
6.411 0.000 -0.001
-3.204 5.553 -0.001
-1.071 -1.854 7.703
Sc Ti Tl S
2 1 3 6
direct
0.334 0.666 0.000
0.666 0.334 0.000
0.000 0.000 0.000
0.169 0.831 0.500
0.831 0.169 0.500
0.500 0.500 0.500
0.939 0.618 0.817
0.740 0.740 0.185
0.061 0.382 0.183
0.618 0.939 0.817
0.260 0.260 0.815
0.382 0.061 0.183
```

Summary:
Raw formation energy ... -1.215 eV per atom
DFT total energy ... -67.0 eV/cell

(7)
Zr2ScTiS: relaxed, PBE-GGA.

The structure in POSCAR format:
```
Zr2ScTiS
1.0
5.193 0.000 0.000
0.000 4.339 0.000
0.000 0.000 5.193
Sc S Zr Ti
1 1 2 1
direct
0.000 0.000 0.000
0.500 0.500 0.500
0.000 0.000 0.500
0.500 0.000 0.000
0.000 0.500 0.000
```

Summary:
Raw formation energy ... 1.159 eV per atom
DFT total energy ... -29.7 eV/cell

(8)
Sc3TlS: relaxed, PBE-GGA.

The structure in POSCAR format:
```
Sc3TlS
1.0
7.715 0.003 0.000
-0.004 3.444 0.000
0.000 0.001 8.146
Sc S Tl
6 2 2
direct
0.416 0.160 0.964
0.119 0.659 0.689
0.916 0.160 0.361
0.321 0.158 0.361
0.619 0.659 0.637
0.821 0.158 0.964
0.368 0.159 0.663
0.868 0.159 0.663
0.618 0.659 0.245
0.118 0.659 0.080
```

Summary:
Raw formation energy ... -0.856 eV per atom
Excess energy over the best structure of this formula in the dataset ... 88 meV per atom
DFT total energy ... -59.5 eV/cell

(9)
Sc3TlS: relaxed, PBE-GGA.

The structure in POSCAR format:
```
Sc3TlS
1.0
-0.192 7.303 2.671
-4.715 -4.203 -4.541
-2.455 -1.507 3.944
Sc Tl S
6 2 2
direct
0.582 0.922 0.250
0.078 0.418 0.250
0.922 0.582 0.750
0.418 0.078 0.750
0.000 0.000 0.000
0.000 0.000 0.500
0.567 0.433 0.250
0.433 0.567 0.750
0.179 0.821 0.250
0.821 0.179 0.750
```

Summary:
Raw formation energy ... -0.397 eV per atom
Excess energy over the best structure of this formula in the dataset ... 547 meV per atom
DFT total energy ... -54.9 eV/cell

(10)
Sc3TlS: relaxed, PBE-GGA.

The structure in POSCAR format:
```
Sc3TlS
1.0
-12.650 0.521 19.791
1.604 -5.323 1.165
7.156 0.936 -5.575
Sc Tl S
12 4 4
direct
0.250 0.000 0.750
0.750 0.000 0.250
0.250 0.500 0.750
0.750 0.500 0.250
0.345 0.250 0.345
0.655 0.750 0.655
0.155 0.750 0.155
0.845 0.250 0.845
0.564 0.750 0.065
0.436 0.250 0.935
0.936 0.250 0.435
0.064 0.750 0.565
0.428 0.750 0.428
0.572 0.250 0.572
0.072 0.250 0.072
0.928 0.750 0.928
0.102 0.250 0.602
0.898 0.750 0.398
0.398 0.750 0.898
0.602 0.250 0.102
```

Summary:
Raw formation energy ... -0.824 eV per atom
Excess energy over the best structure of this formula in the dataset ... 120 meV per atom
DFT total energy ... -118.4 eV/cell

(11)
ScTl2S4: relaxed, PBE-GGA.

The structure in POSCAR format:
```
ScTl2S4
1.0
-2.513 6.397 -3.869
-7.883 1.302 -0.766
-3.502 5.956 4.084
Sc Tl S
2 4 8
direct
0.000 0.500 0.000
0.500 0.500 0.000
0.128 0.122 0.622
0.500 0.000 0.000
0.500 0.500 0.500
0.872 0.878 0.378
0.254 0.283 0.209
0.254 0.709 0.783
0.246 0.271 0.771
0.711 0.271 0.771
0.289 0.729 0.229
0.746 0.291 0.217
0.754 0.729 0.229
0.746 0.717 0.791
```

Summary:
Raw formation energy ... -0.702 eV per atom
DFT total energy ... -65.0 eV/cell

(12)
Sc3TlS: relaxed, PBE-GGA.

The structure in POSCAR format:
```
Sc3TlS
1.0
-3.044 3.632 6.662
0.516 7.435 3.359
-5.205 6.134 1.454
Sc Tl S
6 2 2
direct
0.460 0.108 0.748
0.108 0.748 0.460
0.252 0.540 0.892
0.892 0.252 0.540
0.540 0.892 0.252
0.748 0.460 0.108
0.334 0.334 0.334
0.666 0.666 0.666
0.158 0.158 0.158
0.842 0.842 0.842
```

Summary:
Raw formation energy ... -0.713 eV per atom
Excess energy over the best structure of this formula in the dataset ... 231 meV per atom
DFT total energy ... -58.1 eV/cell

(13)
ScTlS3: relaxed, PBE-GGA.

The structure in POSCAR format:
```
ScTlS3
1.0
-3.358 -2.652 -2.623
1.802 -4.244 1.983
-3.266 0.385 3.792
Sc Tl S
1 1 3
direct
0.000 0.000 0.000
0.500 0.500 0.500
0.000 0.500 0.000
0.000 0.000 0.500
0.500 0.000 0.000
```

Summary:
Raw formation energy ... -0.665 eV per atom
Excess energy over the best structure of this formula in the dataset ... 285 meV per atom
DFT total energy ... -24.4 eV/cell

(14)
Sc3TlS: relaxed, PBE-GGA.

The structure in POSCAR format:
```
Sc3TlS
1.0
-1.407 -3.198 1.169
0.687 -3.144 -7.773
12.773 -4.536 2.964
Sc Tl S
12 4 4
direct
0.750 0.210 0.282
0.250 0.668 0.994
0.250 0.035 0.111
0.250 0.535 0.389
0.250 0.168 0.506
0.750 0.465 0.611
0.250 0.290 0.782
0.750 0.965 0.889
0.750 0.332 0.006
0.750 0.710 0.218
0.750 0.832 0.494
0.250 0.790 0.718
0.250 0.930 0.330
0.750 0.070 0.670
0.750 0.570 0.830
0.250 0.430 0.170
0.250 0.656 0.558
0.750 0.344 0.442
0.750 0.844 0.058
0.250 0.156 0.942
```

Summary:
Raw formation energy ... -0.944 eV per atom
Excess energy over the best structure of this formula in the dataset ... 0 meV per atom
DFT total energy ... -120.8 eV/cell

(15)
Sc3TlS: relaxed, PBE-GGA.

The structure in POSCAR format:
```
Sc3TlS
1.0
-3.609 2.089 -5.998
-3.375 -8.994 -1.102
-4.939 1.428 3.469
Sc Tl S
12 4 4
direct
0.184 0.954 0.842
0.316 0.454 0.342
0.316 0.046 0.342
0.816 0.454 0.158
0.816 0.046 0.158
0.684 0.546 0.658
0.684 0.954 0.658
0.184 0.546 0.842
0.478 0.250 0.882
0.022 0.750 0.382
0.522 0.750 0.118
0.978 0.250 0.618
0.607 0.250 0.432
0.893 0.750 0.932
0.393 0.750 0.568
0.107 0.250 0.068
0.000 0.000 0.500
0.500 0.500 0.000
0.500 0.000 0.000
0.000 0.500 0.500
```

Summary:
Raw formation energy ... -0.886 eV per atom
Excess energy over the best structure of this formula in the dataset ... 58 meV per atom
DFT total energy ... -119.7 eV/cell

(16)
ScTl3S: relaxed, PBE-GGA.

The structure in POSCAR format:
```
ScTl3S
1.0
5.675 0.000 0.000
0.000 5.675 0.000
0.000 0.000 5.675
Sc Tl S
1 3 1
direct
0.000 0.000 0.000
0.000 0.500 0.000
0.000 0.000 0.500
0.500 0.000 0.000
0.500 0.500 0.500
```

Summary:
Raw formation energy ... 0.558 eV per atom
Excess energy over the best structure of this formula in the dataset ... 127 meV per atom
DFT total energy ... -14.8 eV/cell

(17)
Sc3TlS: relaxed, PBE-GGA.

The structure in POSCAR format:
```
Sc3TlS
1.0
5.930 0.000 0.000
0.000 13.130 0.000
0.000 0.000 5.821
Sc Tl S
12 4 4
direct
0.029 0.878 0.963
0.471 0.378 0.463
0.471 0.122 0.463
0.971 0.378 0.037
0.971 0.122 0.037
0.529 0.622 0.537
0.529 0.878 0.537
0.029 0.622 0.963
0.483 0.250 0.915
0.017 0.750 0.415
0.517 0.750 0.085
0.983 0.250 0.585
0.000 0.000 0.500
0.500 0.500 0.000
0.500 0.000 0.000
0.000 0.500 0.500
0.726 0.250 0.258
0.774 0.750 0.758
0.274 0.750 0.742
0.226 0.250 0.242
```

Summary:
Raw formation energy ... -0.704 eV per atom
Excess energy over the best structure of this formula in the dataset ... 240 meV per atom
DFT total energy ... -116.0 eV/cell

(18)
Sc3TlS: relaxed, PBE-GGA.

The structure in POSCAR format:
```
Sc3TlS
1.0
6.468 0.008 -0.011
-1.006 6.068 0.026
1.006 2.124 5.685
Sc S Tl
6 2 2
direct
0.701 0.942 0.634
0.142 0.803 0.774
0.471 0.885 0.191
0.701 0.442 0.134
0.470 0.385 0.691
0.142 0.302 0.274
0.426 0.124 0.453
0.426 0.624 0.953
0.956 0.756 0.320
0.956 0.257 0.819
```

Summary:
Raw formation energy ... -0.836 eV per atom
Excess energy over the best structure of this formula in the dataset ... 107 meV per atom
DFT total energy ... -59.3 eV/cell

(19)
ScTlS3: relaxed, PBE-GGA.

The structure in POSCAR format:
```
ScTlS3
1.0
4.673 0.000 -1.808
-0.751 6.606 -1.940
0.511 0.224 8.263
Sc Tl S
2 2 6
direct
0.000 0.500 0.000
0.000 0.000 0.000
0.274 0.741 0.548
0.726 0.259 0.452
0.877 0.672 0.755
0.621 0.193 0.817
0.123 0.328 0.245
0.196 0.193 0.817
0.379 0.807 0.183
0.804 0.807 0.183
```

Summary:
Raw formation energy ... -0.913 eV per atom
Excess energy over the best structure of this formula in the dataset ... 37 meV per atom
DFT total energy ... -51.3 eV/cell

(20)
Sc3TlS: relaxed, PBE-GGA.

The structure in POSCAR format:
```
Sc3TlS
1.0
6.329 0.013 0.003
1.035 3.481 0.002
1.819 -0.546 10.001
Sc S Tl
6 2 2
direct
0.856 0.772 0.959
0.231 0.084 0.758
0.252 0.574 0.457
0.805 0.797 0.338
0.736 0.332 0.633
0.170 0.114 0.147
0.496 0.952 0.539
0.990 0.705 0.694
0.580 0.410 0.184
0.442 0.479 0.920
```

Summary:
Raw formation energy ... -0.842 eV per atom
Excess energy over the best structure of this formula in the dataset ... 101 meV per atom
DFT total energy ... -59.4 eV/cell

(21)
ScTlS4: relaxed, PBE-GGA.

The structure in POSCAR format:
```
ScTlS4
1.0
6.753 0.588 -1.086
-2.040 6.497 -3.233
0.317 -0.786 7.490
Sc Tl S
2 2 8
direct
0.750 0.999 0.001
0.250 0.001 0.999
0.250 0.349 0.651
0.750 0.651 0.349
0.062 0.317 0.137
0.010 0.890 0.197
0.438 0.863 0.683
0.562 0.137 0.317
0.938 0.683 0.863
0.509 0.197 0.890
0.490 0.803 0.110
0.990 0.110 0.803
```

Summary:
Raw formation energy ... -0.805 eV per atom
DFT total energy ... -60.1 eV/cell